HoAlZnO4 | GGA-PBE | optimized geometry

Geometry as POSCAR:
```
HoAlZnO4
1.0
-2.1534 -5.3124 -1.8881
2.6815 -2.7888 -4.8574
3.2784 -5.1542 1.1173
Ho Al Zn O
2 2 2 8
Cartesian
0.0000 0.0000 0.0000
2.9800 -3.9715 -1.8700
0.5625 -5.2333 -0.3854
1.6392 -2.5771 0.5587
0.8111 -5.7306 -4.0925
2.9955 -7.5248 -1.5356
2.8674 -9.8575 -4.4720
3.8706 -7.1774 -3.5112
-0.0641 -6.0780 -2.1170
0.9391 -3.3980 -1.1561
2.5271 -4.7593 -3.8794
1.4324 -7.4598 -4.8392
2.3741 -5.7957 -0.7890
1.2794 -8.4962 -1.7488
```

formation energy (no corrections)	-251.63	kJ per mole of atoms